# 1
The following is a DFT calculation (GGA-PBE) of a geometry-optimized BaCoGe2 structure.

a = 4.1048 Å, b = 4.1048 Å, c = 6.5527 Å
α = 71.75°, β = 71.75°, γ = 60.00°
Last column: nearest neighbours and their distance in Å.
Positions (direct):
Ge 0.7946 0.7946 0.6163  3 Co 2.47, 3 Ge 2.76
Ge 0.2054 0.2054 0.3837  3 Co 2.47, 3 Ge 2.76
Co 0.5000 0.5000 0.5000  6 Ge 2.47
Ba 0.0000 0.0000 0.0000  6 Ge 3.33

Computed properties:
SG	R-3m
size of the total moment	0.6	μB per cell
uncorrected energy	-19.667	eV for the cell shown
ΔH_f (0 K)	-1.403	eV/f.u.

# 2
The following is a DFT calculation (GGA-PBE) of a geometry-optimized BaY4Sc structure.

a = 6.7416 Å, b = 6.7416 Å, c = 6.7416 Å
α = 60.00°, β = 60.00°, γ = 60.00°
Last column: nearest neighbours and their distance in Å.
Positions (direct):
Ba 0.7500 0.7500 0.7500  12 Y 3.96, 4 Sc 4.13
Y 0.8835 0.3722 0.3722  6 Y 3.29-3.45
Y 0.3722 0.3722 0.8835  6 Y 3.29-3.45
Y 0.3722 0.8835 0.3722  6 Y 3.29-3.45
Y 0.3722 0.3722 0.3722  6 Y 3.29-3.45
Sc 0.0000 0.0000 0.0000  12 Y 3.94, 4 Ba 4.13

Computed properties:
SG	F-43m
size of the total moment	0.0	μB per cell
uncorrected energy	-31.805	eV for the cell shown
ΔH_f (0 K)	2.306	eV/f.u.

# 3
The following is a DFT calculation (GGA-PBE) of a geometry-optimized HgC2 structure.

a = 6.6442 Å, b = 6.6442 Å, c = 6.6442 Å
α = 157.95°, β = 157.95°, γ = 31.38°
Last column: nearest neighbours and their distance in Å.
Positions (direct):
C 0.2492 0.2492 0.0000  4 C 1.80
C 0.7508 0.7508 0.0000  4 C 1.80
Hg 0.0000 0.0000 0.0000  4 Hg 2.54

Computed properties:
offset from the most stable computed form	1766	meV per atom
SG	I4/mmm
size of the total moment	0.0	μB per cell
uncorrected energy	-11.840	eV for the cell shown
ΔH_f (0 K)	6.910	eV/f.u.

# 4
The following is a DFT calculation (GGA-PBE) of a geometry-optimized Ag2TeC structure.

a = 4.9648 Å, b = 4.9648 Å, c = 7.6249 Å
α = 71.00°, β = 71.00°, γ = 90.00°
Last column: nearest neighbours and their distance in Å.
Positions (direct):
C 0.5000 0.5000 0.0000  4 Ag 2.18
C 0.2500 0.7500 0.5000  4 Ag 2.18
Te 0.0000 0.0000 0.0000  4 Ag 2.82
Te 0.7500 0.2500 0.5000  4 Ag 2.82
Ag 0.4969 0.1250 0.2500  2 C 2.18
Ag 0.2531 0.6250 0.2500  2 C 2.18
Ag 0.3750 0.5031 0.7500  2 C 2.18
Ag 0.8750 0.7469 0.7500  2 C 2.18

Computed properties:
offset from the most stable computed form	0	meV per atom
SG	I-42d
formation energy without anion corrections	1151.2	meV/atom
size of the total moment	0.0	μB per cell
uncorrected energy	-26.926	eV for the cell shown

# 5
The following is a DFT calculation (GGA-PBE) of a geometry-optimized La2Nd6Sm3Mg structure.

a = 6.3152 Å, b = 6.3152 Å, c = 12.0737 Å
α = 95.07°, β = 95.07°, γ = 120.04°
Last column: nearest neighbours and their distance in Å.
Positions (direct):
La 0.3325 0.6675 0.0000  3 La 3.64-3.66, 3 Mg 3.64-3.65, 6 Nd 3.65-3.67
La 0.6675 0.3325 0.0000  3 La 3.64-3.66, 3 Mg 3.64-3.65, 6 Nd 3.65-3.67
Nd 0.9172 0.5877 0.7490  6 Nd 3.60-3.67, 3 Sm 3.62-3.65, 1 Mg 3.63, 2 La 3.65-3.66
Nd 0.7533 0.7533 0.2521  6 Nd 3.60-3.67, 3 Sm 3.61-3.63, 1 Mg 3.66, 2 La 3.67
Nd 0.0828 0.4123 0.2510  6 Nd 3.60-3.67, 3 Sm 3.62-3.65, 1 Mg 3.63, 2 La 3.65-3.66
Nd 0.5877 0.9172 0.7490  6 Nd 3.60-3.67, 3 Sm 3.62-3.65, 1 Mg 3.63, 2 La 3.65-3.66
Nd 0.2467 0.2467 0.7479  6 Nd 3.60-3.67, 3 Sm 3.61-3.63, 1 Mg 3.66, 2 La 3.67
Nd 0.4123 0.0828 0.2510  6 Nd 3.60-3.67, 3 Sm 3.62-3.65, 1 Mg 3.63, 2 La 3.65-3.66
Sm 0.1665 0.8335 0.5000  6 Nd 3.61-3.65, 6 Sm 3.64-3.65
Sm 0.8335 0.1665 0.5000  6 Nd 3.61-3.65, 6 Sm 3.64-3.65
Sm 0.5000 0.5000 0.5000  6 Nd 3.62-3.63, 6 Sm 3.64-3.65
Mg 0.0000 0.0000 0.0000  6 Nd 3.63-3.66, 6 La 3.64-3.65

Computed properties:
SG	C2/m
size of the total moment	0.0	μB per cell
uncorrected energy	-54.090	eV for the cell shown
ΔH_f (0 K)	0.124	eV/f.u.

# 6
The following is a DFT calculation (GGA-PBE) of a geometry-optimized Sm2Tm7Sc structure.

a = 3.4330 Å, b = 14.4932 Å, c = 14.4933 Å
α = 154.56°, β = 90.00°, γ = 90.00°
Last column: nearest neighbours and their distance in Å.
Positions (direct):
Sm 0.5000 0.7080 0.2920  2 Sm 3.43, 8 Tm 3.51-3.69
Sm 0.5000 0.2920 0.7080  2 Sm 3.43, 8 Tm 3.51-3.69
Tm 0.0000 0.8164 0.1836  6 Tm 3.39-3.43, 6 Sm 3.51-3.69
Tm 0.0000 0.1836 0.8164  6 Tm 3.39-3.43, 6 Sm 3.51-3.69
Tm 0.5000 0.1482 0.3398  7 Tm 3.11-3.43
Tm 0.5000 0.8518 0.6602  7 Tm 3.11-3.43
Tm 0.5000 0.3398 0.1482  7 Tm 3.11-3.43
Tm 0.5000 0.6602 0.8518  7 Tm 3.11-3.43
Tm 0.5000 0.5000 0.5000  6 Tm 3.16-3.43
Sc 0.0000 0.0000 0.0000  2 Sc 3.43, 12 Tm 3.57-3.62

Computed properties:
SG	Cmmm
size of the total moment	0.0	μB per cell
uncorrected energy	-45.335	eV for the cell shown
ΔH_f (0 K)	1.736	eV/f.u.

# 7
The following is a DFT calculation (GGA-PBE) of a geometry-optimized MgBePCl2 structure.

a = 4.2056 Å, b = 4.2056 Å, c = 5.5413 Å
α = 90.00°, β = 90.00°, γ = 90.00°
Last column: nearest neighbours and their distance in Å.
Positions (direct):
P 0.0000 0.0000 0.5000  2 Be 2.77, 4 Mg 2.97
Mg 0.5000 0.5000 0.5000  4 P 2.97
Be 0.0000 0.0000 0.0000  4 Cl 2.10
Cl 0.0000 0.5000 0.0000  2 Be 2.10
Cl 0.5000 0.0000 0.0000  2 Be 2.10

Computed properties:
offset from the most stable computed form	0	meV per atom
SG	P4/mmm
formation energy without anion corrections	-248.8	meV/atom
size of the total moment	0.9	μB per cell
uncorrected energy	-15.668	eV for the cell shown

# 8
The following is a DFT calculation (GGA-PBE) of a geometry-optimized Ag2AsRu2 structure.

a = 6.1403 Å, b = 6.1403 Å, c = 4.5520 Å
α = 90.00°, β = 90.00°, γ = 90.00°
Last column: nearest neighbours and their distance in Å.
Positions (direct):
Ru 0.3586 0.8586 0.0000  2 As 2.37, 1 Ru 2.46
Ru 0.8586 0.6414 0.0000  2 As 2.37, 1 Ru 2.46
Ru 0.6414 0.1414 0.0000  2 As 2.37, 1 Ru 2.46
Ru 0.1414 0.3586 0.0000  2 As 2.37, 1 Ru 2.46
As 0.0000 0.0000 0.0000  4 Ru 2.37
As 0.5000 0.5000 0.0000  4 Ru 2.37
Ag 0.1675 0.6675 0.5000  6 Ru 2.82-2.97, 1 Ag 2.91
Ag 0.6675 0.8325 0.5000  6 Ru 2.82-2.97, 1 Ag 2.91
Ag 0.8325 0.3325 0.5000  6 Ru 2.82-2.97, 1 Ag 2.91
Ag 0.3325 0.1675 0.5000  6 Ru 2.82-2.97, 1 Ag 2.91

Computed properties:
offset from the most stable computed form	0	meV per atom
SG	P4/mbm
size of the total moment	0.0	μB per cell
uncorrected energy	-55.712	eV for the cell shown
ΔH_f (0 K)	1.048	eV/f.u.